1.
Below is a PBEsol-optimized structure of Re2SnGePt, with properties calculated at the SCAN level.

Geometry as CIF:
```
data_Re2SnGePt
_cell_length_a 4.8136
_cell_length_b 4.8136
_cell_length_c 4.8377
_cell_angle_alpha 90.00
_cell_angle_beta 90.00
_cell_angle_gamma 90.00
_symmetry_space_group_name_H-M 'P 4/m m m'
_symmetry_Int_Tables_number 123
_symmetry_space_group_name_Hall '-P 4 2'
loop_
_atom_site_label
_atom_site_type_symbol
_atom_site_fract_x
_atom_site_fract_y
_atom_site_fract_z
_atom_site_occupancy
Re1 Re 0.0000 0.5000 0.0000 1
Sn1 Sn 0.0000 0.0000 0.0000 1
Ge1 Ge 0.0000 0.0000 0.5000 1
Pt1 Pt 0.5000 0.5000 0.5000 1
```

Results
formation energy from the elements = 2.73 eV per atom
total magnetization = 1.5 μB per cell

---

2.
Below is a PBEsol-optimized structure of ZnAgAu2, with properties calculated at the SCAN level.

Geometry as CIF:
```
data_ZnAgAu2
_cell_length_a 5.6464
_cell_length_b 7.7321
_cell_length_c 2.9468
_cell_angle_alpha 90.00
_cell_angle_beta 90.00
_cell_angle_gamma 90.00
_symmetry_space_group_name_H-M 'C m m m'
_symmetry_Int_Tables_number 65
_symmetry_space_group_name_Hall '-C 2 2'
loop_
_atom_site_label
_atom_site_type_symbol
_atom_site_fract_x
_atom_site_fract_y
_atom_site_fract_z
_atom_site_occupancy
Zn1 Zn 0.0000 0.0000 0.0000 1
Ag1 Ag 0.0000 0.5000 0.0000 1
Au1 Au 0.2500 0.2500 0.5000 1
```

Results
formation energy from the elements = -0.15 eV per atom
total magnetization = 0.0 μB per cell

---

3.
Below is a PBEsol-optimized structure of TiInFe2Pt, with properties calculated at the SCAN level.

Geometry as CIF:
```
data_TiInFe2Pt
_cell_length_a 4.2378
_cell_length_b 4.2378
_cell_length_c 4.7823
_cell_angle_alpha 90.00
_cell_angle_beta 90.00
_cell_angle_gamma 90.00
_symmetry_space_group_name_H-M 'P 4/m m m'
_symmetry_Int_Tables_number 123
_symmetry_space_group_name_Hall '-P 4 2'
loop_
_atom_site_label
_atom_site_type_symbol
_atom_site_fract_x
_atom_site_fract_y
_atom_site_fract_z
_atom_site_occupancy
Ti1 Ti 0.0000 0.0000 0.0000 1
In1 In 0.5000 0.5000 0.5000 1
Fe1 Fe 0.0000 0.5000 0.0000 1
Pt1 Pt 0.0000 0.0000 0.5000 1
```

Results
formation energy from the elements = 0.79 eV per atom
total magnetization = 3.7 μB per cell

---

4.
Below is a PBEsol-optimized structure of CoTcNi2, with properties calculated at the SCAN level.

Geometry as CIF:
```
data_CoTcNi2
_cell_length_a 2.5011
_cell_length_b 3.6391
_cell_length_c 4.9380
_cell_angle_alpha 90.00
_cell_angle_beta 90.00
_cell_angle_gamma 90.00
_symmetry_space_group_name_H-M 'P m m m'
_symmetry_Int_Tables_number 47
_symmetry_space_group_name_Hall '-P 2 2'
loop_
_atom_site_label
_atom_site_type_symbol
_atom_site_fract_x
_atom_site_fract_y
_atom_site_fract_z
_atom_site_occupancy
Co1 Co 0.0000 0.0000 0.0000 1
Tc1 Tc 0.0000 0.0000 0.5000 1
Ni1 Ni 0.5000 0.5000 0.2447 1
```

Results
formation energy from the elements = 0.09 eV per atom
distance to the lowest polymorph of the same formula = 0 meV/atom
total magnetization = 3.3 μB per cell

---

5.
Below is a PBEsol-optimized structure of AlNi2Au, with properties calculated at the SCAN level.

Geometry as CIF:
```
data_AlNi2Au
_cell_length_a 3.7991
_cell_length_b 3.7991
_cell_length_c 7.0375
_cell_angle_alpha 90.00
_cell_angle_beta 90.00
_cell_angle_gamma 90.00
_symmetry_space_group_name_H-M 'I 4/m m m'
_symmetry_Int_Tables_number 139
_symmetry_space_group_name_Hall '-I 4 2'
loop_
_atom_site_label
_atom_site_type_symbol
_atom_site_fract_x
_atom_site_fract_y
_atom_site_fract_z
_atom_site_occupancy
Al1 Al 0.0000 0.0000 0.0000 1
Ni1 Ni 0.0000 0.5000 0.2500 1
Au1 Au 0.0000 0.0000 0.5000 1
```

Results
formation energy from the elements = -0.40 eV per atom
total magnetization = 0.0 μB per cell

---

6.
Below is a PBEsol-optimized structure of SbPb3, with properties calculated at the SCAN level.

Geometry as CIF:
```
data_SbPb3
_cell_length_a 3.7829
_cell_length_b 5.5182
_cell_length_c 10.9932
_cell_angle_alpha 90.00
_cell_angle_beta 90.00
_cell_angle_gamma 90.00
_symmetry_space_group_name_H-M 'C m m m'
_symmetry_Int_Tables_number 65
_symmetry_space_group_name_Hall '-C 2 2'
loop_
_atom_site_label
_atom_site_type_symbol
_atom_site_fract_x
_atom_site_fract_y
_atom_site_fract_z
_atom_site_occupancy
Sb1 Sb 0.0000 0.0000 0.0000 1
Pb1 Pb 0.0000 0.0000 0.5000 1
Pb2 Pb 0.0000 0.5000 0.2412 1
```

Results
raw formation energy = 0.0925 eV/atom
total magnetization = 0.0 μB per cell

---

7.
Below is a PBEsol-optimized structure of Mn5P, with properties calculated at the SCAN level.

Geometry as CIF:
```
data_Mn5P
_cell_length_a 3.9374
_cell_length_b 2.5662
_cell_length_c 12.2787
_cell_angle_alpha 90.00
_cell_angle_beta 90.00
_cell_angle_gamma 90.00
_symmetry_space_group_name_H-M 'A m m 2'
_symmetry_Int_Tables_number 38
_symmetry_space_group_name_Hall 'A 2 -2'
loop_
_atom_site_label
_atom_site_type_symbol
_atom_site_fract_x
_atom_site_fract_y
_atom_site_fract_z
_atom_site_occupancy
Mn1 Mn 0.0000 0.0000 0.0000 1
Mn2 Mn 0.0000 0.0000 0.3322 1
Mn3 Mn 0.0000 0.0000 0.6670 1
Mn4 Mn 0.5000 0.0000 0.1107 1
Mn5 Mn 0.5000 0.0000 0.4439 1
P1 P 0.5000 0.0000 0.7812 1
```

Results
formation energy from the elements = -0.05 eV per atom
distance to the lowest polymorph of the same formula = 215 meV/atom
total magnetization = 2.4 μB per cell

---

8.
Below is a PBEsol-optimized structure of TlIr2Au, with properties calculated at the SCAN level.

Geometry as CIF:
```
data_TlIr2Au
_cell_length_a 4.1077
_cell_length_b 4.1077
_cell_length_c 7.8107
_cell_angle_alpha 90.00
_cell_angle_beta 90.00
_cell_angle_gamma 90.00
_symmetry_space_group_name_H-M 'I -4 m 2'
_symmetry_Int_Tables_number 119
_symmetry_space_group_name_Hall 'I -4 -2'
loop_
_atom_site_label
_atom_site_type_symbol
_atom_site_fract_x
_atom_site_fract_y
_atom_site_fract_z
_atom_site_occupancy
Tl1 Tl 0.0000 0.0000 0.0000 1
Ir1 Ir 0.0000 0.0000 0.5000 1
Ir2 Ir 0.0000 0.5000 0.7500 1
Au1 Au 0.0000 0.5000 0.2500 1
```

Results
formation energy from the elements = 0.68 eV per atom
distance to the lowest polymorph of the same formula = 288 meV/atom
total magnetization = 0.0 μB per cell

---

Number 1: total DFT energy (no corrections) -253.73 eV for the cell shown. Number 2: total DFT energy (no corrections) -367.56 eV for the cell shown. Number 3: total DFT energy (no corrections) -151.91 eV for the cell shown. Number 4: total DFT energy (no corrections) -84.35 eV for the cell shown. Number 5: total DFT energy (no corrections) -221.70 eV for the cell shown. Number 6: total DFT energy (no corrections) -528.47 eV for the cell shown. Number 7: total DFT energy (no corrections) -203.95 eV for the cell shown. Number 8: total DFT energy (no corrections) -561.99 eV for the cell shown.